# 1
A geometry-optimized Ce3Sm2Si4 structure. Source: the Alexandria database, functional PBE.

Computed properties:
**E_tot**: -6.07 eV/atom
**Crystal system**: monoclinic
**Uncorrected formation energy**: -634 meV/atom
**Total magnetization**: 2.3 μB/f.u.

a b c (Å): 7.734 7.764 7.674
angles (deg): 90.00 106.18 90.00
Space group P2_1/c (No. 14)
Inequivalent atoms, fractional coordinates:
Ce 0.000 0.000 0.000
Ce 0.256 0.187 0.749
Sm 0.296 0.683 0.909
Si 0.009 0.615 0.118
Si 0.419 0.024 0.115



# 2
A geometry-optimized CeSm2Si structure. Source: the Alexandria database, functional PBE.

Computed properties:
**Excess energy over the best structure of this formula in the dataset**: 0 meV per atom
**E_tot**: -5.46 eV/atom
**Crystal system**: tetragonal
**Uncorrected formation energy**: -258 meV/atom
**Total magnetization**: 0.0 μB/f.u.

a b c (Å): 4.753 4.753 4.512
angles (deg): 90.00 90.00 90.00
Space group P4/mmm (No. 123)
Inequivalent atoms, fractional coordinates:
Ce 0.000 0.000 0.000
Sm 0.000 0.500 0.500
Si 0.500 0.500 0.000



# 3
A geometry-optimized Ce4Sm3Si4 structure. Source: the Alexandria database, functional PBE.

Computed properties:
**E_tot**: -5.91 eV/atom
**Crystal system**: orthorhombic
**Uncorrected formation energy**: -498 meV/atom
**Total magnetization**: 1.9 μB/f.u.

a b c (Å): 3.841 8.488 17.279
angles (deg): 90.00 90.00 90.00
Space group Immm (No. 71)
Inequivalent atoms, fractional coordinates:
Ce 0.000 0.164 0.171
Sm 0.000 0.000 0.405
Sm 0.000 0.500 0.500
Si 0.000 0.276 0.000
Si 0.000 0.500 0.225



# 4
A geometry-optimized Ce4SmSi4 structure. Source: the Alexandria database, functional PBE.

Computed properties:
**E_tot**: -5.97 eV/atom
**Crystal system**: tetragonal
**Uncorrected formation energy**: -395 meV/atom
**Total magnetization**: 3.1 μB/f.u.

a b c (Å): 8.739 8.739 6.046
angles (deg): 90.00 90.00 90.00
Space group P4_2/n (No. 86, origin choice 2)
Inequivalent atoms, fractional coordinates:
Ce 0.057 0.641 0.090
Sm 0.250 0.250 0.250
Si 0.027 0.620 0.590



# 5
A geometry-optimized CeSmSi4 structure. Source: the Alexandria database, functional PBE.

Computed properties:
**Excess energy over the best structure of this formula in the dataset**: 270 meV per atom
**E_tot**: -5.75 eV/atom
**Crystal system**: cubic
**Uncorrected formation energy**: -356 meV/atom
**Total magnetization**: 0.0 μB/f.u.

a b c (Å): 7.604 7.604 7.604
angles (deg): 90.00 90.00 90.00
Space group F-43m (No. 216)
Inequivalent atoms, fractional coordinates:
Ce 0.000 0.000 0.000
Sm 0.250 0.250 0.750
Si 0.124 0.124 0.376



# 6
A geometry-optimized CeSmZnSi structure. Source: the Alexandria database, functional PBE.

Computed properties:
**E_tot**: -4.73 eV/atom
**Crystal system**: cubic
**Uncorrected formation energy**: -395 meV/atom
**Total magnetization**: 0.8 μB/f.u.

a b c (Å): 7.195 7.195 7.195
angles (deg): 90.00 90.00 90.00
Space group F-43m (No. 216)
Inequivalent atoms, fractional coordinates:
Ce 0.000 0.000 0.000
Sm 0.000 0.000 0.500
Zn 0.250 0.250 0.250
Si 0.250 0.250 0.750